[1]
Computed, not measured: Ac2MgCu3 after structural relaxation at the GGA-PBE level of DFT. Values from VASP.

Results
Crystal system: orthorhombic
Formation energy (eV per atom): -0.10

Quantum ESPRESSO input file:
```
&SYSTEM
  ibrav = 0, nat = 12, ntyp = 3
/
ATOMIC_SPECIES
Ac 227.00 Ac.upf
Mg 24.30 Mg.upf
Cu 63.55 Cu.upf
CELL_PARAMETERS angstrom
0.000 4.590 7.795
4.177 0.000 7.795
4.177 4.590 0.000
ATOMIC_POSITIONS crystal
Ac 0.238 0.762 0.762
Ac 0.250 0.250 0.250
Ac 0.750 0.750 0.750
Ac 0.762 0.238 0.238
Mg 0.334 0.334 0.666
Mg 0.666 0.666 0.334
Cu 0.163 0.163 0.837
Cu 0.163 0.673 0.327
Cu 0.327 0.837 0.163
Cu 0.673 0.163 0.837
Cu 0.837 0.327 0.673
Cu 0.837 0.837 0.163
```

---

[2]
Computed, not measured: Ca3Si2Ni9Sn after structural relaxation at the GGA-PBE level of DFT. Values from VASP.

Results
Crystal system: trigonal
Formation energy without anion corrections (kJ/mol of atoms): -8.29

Quantum ESPRESSO input file:
```
&SYSTEM
  ibrav = 0, nat = 15, ntyp = 4
/
ATOMIC_SPECIES
Ca 40.08 Ca.upf
Si 28.09 Si.upf
Ni 58.69 Ni.upf
Sn 118.71 Sn.upf
CELL_PARAMETERS angstrom
6.258 0.000 0.000
-3.129 5.419 0.000
0.000 0.000 7.926
ATOMIC_POSITIONS crystal
Ca 0.000 0.000 0.000
Ca 0.333 0.667 0.712
Ca 0.667 0.333 0.288
Si 0.333 0.667 0.166
Si 0.667 0.333 0.834
Ni 0.000 0.500 0.000
Ni 0.207 0.414 0.393
Ni 0.207 0.793 0.393
Ni 0.414 0.207 0.607
Ni 0.500 0.000 0.000
Ni 0.500 0.500 0.000
Ni 0.586 0.793 0.393
Ni 0.793 0.207 0.607
Ni 0.793 0.586 0.607
Sn 0.000 0.000 0.500
```